No. 1
Pr2NdAg2Hg3Pd | PBE-GGA | optimized geometry

The structure belongs to space group Amm2 (No. 38); the cell edges are 3.966, 13.850 and 8.005 Å and the angles 90.00°, 90.00° and 90.00°. The asymmetric unit holds Pr at (0.000, 0.194, 0.000), Nd at (0.000, 0.000, 0.420), Ag at (0.500, 0.166, 0.307), Hg at (0.500, 0.000, 0.073), Hg at (0.500, 0.133, 0.673) and Pd at (0.000, 0.000, 0.806).

As for the energy relative to the elements: -4.0 eV/f.u. Its total energy is -60.16 eV/cell.



No. 2
CdHgI | PBE-GGA | optimized geometry

The structure belongs to space group P-6m2 (No. 187); the cell edges are 6.2272, 6.2272 and 3.0377 Å and the angles 90.00°, 90.00° and 120.00°. The asymmetric unit holds Cd at (0.0000, 0.0000, 0.0000), Hg at (0.3333, 0.6667, 0.0000) and I at (0.6667, 0.3333, 0.0000).

Its total energy is -2.66 eV/cell.



No. 3
SmY2O3 | PBE-GGA | optimized geometry

The structure belongs to space group P-3m1 (No. 164); the cell edges are 3.4195, 3.4195 and 8.4916 Å and the angles 90.00°, 90.00° and 120.00°. The asymmetric unit holds Sm at (0.0000, 0.0000, 0.0000), Y at (0.3333, 0.6667, 0.6653), O at (0.0000, 0.0000, 0.5000) and O at (0.3333, 0.6667, 0.1873).

Its total energy is -49.15 eV/cell.



No. 4
ScNiGePt | PBE-GGA | optimized geometry

The structure belongs to space group F-43m (No. 216); the cell edges are 6.303, 6.303 and 6.303 Å and the angles 90.00°, 90.00° and 90.00°. The asymmetric unit holds Sc at (0.000, 0.000, 0.000), Ni at (0.000, 0.000, 0.500), Ge at (0.250, 0.250, 0.250) and Pt at (0.250, 0.250, 0.750).

Its excess energy over the best structure of this formula in the dataset is 0.584 eV per formula unit. Its total energy is -98.85 eV/cell.



No. 5
NaTaSiOs | PBE-GGA | optimized geometry

The structure belongs to space group F-43m (No. 216); the cell edges are 6.315, 6.315 and 6.315 Å and the angles 90.00°, 90.00° and 90.00°. The asymmetric unit holds Na at (0.000, 0.000, 0.000), Ta at (0.000, 0.000, 0.500), Si at (0.250, 0.250, 0.750) and Os at (0.250, 0.250, 0.250).

Its excess energy over the best structure of this formula in the dataset is 1.021 eV per formula unit. Its total energy is -114.43 eV/cell.



No. 6
PaHgO3 | PBE-GGA | optimized geometry

The structure belongs to space group P-1 (No. 2); the cell edges are 4.262, 4.325 and 10.347 Å and the angles 78.69°, 87.00° and 88.82°. The asymmetric unit holds Pa at (0.029, 0.320, 0.352), Hg at (0.298, 0.219, 0.956), O at (0.017, 0.788, 0.417), O at (0.046, 0.464, 0.143) and O at (0.471, 0.683, 0.654).

Its total energy is -70.10 eV/cell.